*w*
Li6AgAu12 | PBE | relaxed

Results
symmetry = R-3

Cell: 7.4478 7.4478 7.4478 Å, 107.07 107.07 107.07°
Positions (direct):
Li 0.7986 0.9150 0.5395
Li 0.4605 0.2014 0.0850
Li 0.0850 0.4605 0.2014
Li 0.2014 0.0850 0.4605
Li 0.5395 0.7986 0.9150
Li 0.9150 0.5395 0.7986
Ag 0.0000 0.0000 0.0000
Au 0.8083 0.5141 0.4052
Au 0.4052 0.8083 0.5141
Au 0.5141 0.4052 0.8083
Au 0.1917 0.4859 0.5948
Au 0.5948 0.1917 0.4859
Au 0.4859 0.5948 0.1917
Au 0.8779 0.7308 0.1704
Au 0.2692 0.8296 0.1221
Au 0.8296 0.1221 0.2692
Au 0.1221 0.2692 0.8296
Au 0.7308 0.1704 0.8779
Au 0.1704 0.8779 0.7308

*x*
Li6AgAu12 | PBE | relaxed

Results
symmetry = R-3

Cell: 6.8618 6.8618 6.8618 Å, 89.30 89.30 89.30°
Positions (direct):
Li 0.1177 0.2745 0.7229
Li 0.7255 0.2771 0.8823
Li 0.2771 0.8823 0.7255
Li 0.8823 0.7255 0.2771
Li 0.2745 0.7229 0.1177
Li 0.7229 0.1177 0.2745
Ag 0.0000 0.0000 0.0000
Au 0.4733 0.1939 0.5709
Au 0.1939 0.5709 0.4733
Au 0.5709 0.4733 0.1939
Au 0.5267 0.8061 0.4291
Au 0.8061 0.4291 0.5267
Au 0.4291 0.5267 0.8061
Au 0.8424 0.9754 0.6288
Au 0.3712 0.1576 0.0246
Au 0.0246 0.3712 0.1576
Au 0.1576 0.0246 0.3712
Au 0.6288 0.8424 0.9754
Au 0.9754 0.6288 0.8424

The winner here is *w*, beating the second structure by 14 meV per atom.

*w*
Li3Ag2Au2 | PBE | relaxed

Results
symmetry = P2/m

Cell: 4.5766 2.8017 9.5812 Å, 90.00 102.97 90.00°
Positions (direct):
Li 0.2910 0.0000 0.5872
Li 0.0000 0.0000 0.0000
Li 0.7090 0.0000 0.4128
Ag 0.1499 0.0000 0.2875
Ag 0.8501 0.0000 0.7125
Au 0.4126 0.5000 0.8461
Au 0.5874 0.5000 0.1539

*x*
Li3Ag2Au2 | PBE | relaxed

Results
symmetry = P-1

Cell: 4.9535 4.9730 7.4729 Å, 70.57 124.09 131.15°
Positions (direct):
Li 0.0000 0.0000 0.0000
Li 0.5608 0.2850 0.8450
Li 0.4392 0.7150 0.1550
Ag 0.2812 0.1409 0.4225
Ag 0.7188 0.8591 0.5775
Au 0.8325 0.4219 0.2551
Au 0.1675 0.5781 0.7449

The winner here is *x*, beating the second structure by 85 meV per atom.

*w*
LiAg6Au8 | PBE | relaxed

Results
symmetry = P-3

Cell: 2.8853 10.7212 10.7212 Å, 120.00 90.00 90.00°
Positions (direct):
Li 0.5000 0.0000 0.0000
Ag 0.7424 0.5384 0.6295
Ag 0.7424 0.3705 0.9089
Ag 0.7424 0.0911 0.4616
Ag 0.2576 0.4616 0.3705
Ag 0.2576 0.6295 0.0911
Ag 0.2576 0.9089 0.5384
Au 0.7643 0.7335 0.9305
Au 0.7643 0.0695 0.8030
Au 0.7643 0.1970 0.2665
Au 0.2357 0.2665 0.0695
Au 0.2357 0.9305 0.1970
Au 0.2357 0.8030 0.7335
Au 0.7576 0.6667 0.3333
Au 0.2424 0.3333 0.6667

*x*
LiAg6Au8 | PBE | relaxed

Results
symmetry = P6/mmm

Cell: 4.8196 8.4157 8.4157 Å, 120.00 90.00 90.00°
Positions (direct):
Li 0.5000 0.0000 0.0000
Ag 0.4999 0.7863 0.2137
Ag 0.4999 0.7863 0.5727
Ag 0.4999 0.4273 0.2137
Ag 0.5001 0.2137 0.7863
Ag 0.5001 0.2137 0.4273
Ag 0.5001 0.5727 0.7863
Au 0.0001 0.0000 0.3237
Au 0.0001 0.6763 0.6763
Au 0.0001 0.3237 0.0000
Au 0.9999 0.0000 0.6763
Au 0.9999 0.3237 0.3237
Au 0.9999 0.6763 0.0000
Au 0.0001 0.3333 0.6667
Au 0.9999 0.6667 0.3333

The winner here is *x*, beating the second structure by 41 meV per atom.

*w*
LiAgAu6 | PBE | relaxed

Results
symmetry = Amm2

Cell: 4.8511 5.7541 5.7541 Å, 118.78 90.00 90.00°
Positions (direct):
Li 0.0000 0.0846 0.9154
Ag 0.5000 0.4156 0.5844
Au 0.0000 0.0848 0.4159
Au 0.0000 0.5841 0.9152
Au 0.0000 0.5840 0.4160
Au 0.5000 0.4104 0.0815
Au 0.5000 0.9185 0.5896
Au 0.5000 0.9177 0.0823

*x*
LiAgAu6 | PBE | relaxed

Results
symmetry = Amm2

Cell: 4.7779 5.8235 5.8235 Å, 119.27 90.00 90.00°
Positions (direct):
Li 0.5000 0.1664 0.8336
Ag 0.5000 0.6662 0.3338
Au 0.5000 0.1672 0.3334
Au 0.5000 0.6666 0.8328
Au 0.0000 0.3316 0.1612
Au 0.0000 0.8388 0.6684
Au 0.0000 0.3307 0.6693
Au 0.0000 0.8325 0.1675

The winner here is *w*, beating the second structure by 18 meV per atom.